# 1
A geometry-optimized Li5Cd6Hg2 structure. Source: Alexandria via LeMat-Bulk, functional PBE.

Summary:
size of the total moment: 0.00 μB per formula unit
calculated density: 7.0 g/cm3
energy of formation from the pure elements: -0.1935 eV per atom
DFT total energy: -1.398 eV/atom

Structure (CIF):
```
data_Li5Cd6Hg2
_chemical_formula_sum 'Li10 Cd12 Hg4'
_cell_length_a 9.814
_cell_length_b 17.243
_cell_length_c 3.101
_cell_angle_alpha 90.00
_cell_angle_beta 90.00
_cell_angle_gamma 90.00
_space_group_name_H-M_alt 'P b a m'
_space_group_IT_number 55
_space_group_name_Hall '-P 2 2ab'
loop_
_atom_site_label
_atom_site_fract_x
_atom_site_fract_y
_atom_site_fract_z
Li1 0.000 0.000 0.000
Li2 0.089 0.273 0.000
Li3 0.191 0.560 0.000
Cd1 0.064 0.422 0.500
Cd2 0.080 0.130 0.500
Cd3 0.184 0.876 0.000
Hg1 0.154 0.712 0.500
```

=====

# 2
A geometry-optimized K2ReOsO structure. Source: Alexandria via LeMat-Bulk, functional PBE.

Summary:
size of the total moment: 4.25 μB per formula unit
calculated density: 6.2 g/cm3
DFT total energy: -5.091 eV/atom
E_form (uncorrected): 1075 meV/atom

Structure (CIF):
```
data_K2ReOsO
_chemical_formula_sum 'K2 Re1 Os1 O1'
_cell_length_a 5.838
_cell_length_b 5.838
_cell_length_c 3.711
_cell_angle_alpha 90.00
_cell_angle_beta 90.00
_cell_angle_gamma 90.00
_space_group_name_H-M_alt 'P 4/m m m'
_space_group_IT_number 123
_space_group_name_Hall '-P 4 2'
loop_
_atom_site_label
_atom_site_fract_x
_atom_site_fract_y
_atom_site_fract_z
K1 0.000 0.500 0.000
Re1 0.000 0.000 0.500
Os1 0.500 0.500 0.500
O1 0.500 0.500 0.000
```

=====

# 3
A geometry-optimized CeMgSn structure. Source: Alexandria via LeMat-Bulk, functional PBE.

Summary:
size of the total moment: 1.88 μB per formula unit
calculated density: 5.7 g/cm3
energy of formation from the pure elements: -0.4268 eV per atom
DFT total energy: -4.271 eV/atom

Structure (CIF):
```
data_CeMgSn
_chemical_formula_sum 'Ce2 Mg2 Sn2'
_cell_length_a 4.500
_cell_length_b 4.500
_cell_length_c 8.113
_cell_angle_alpha 90.00
_cell_angle_beta 90.00
_cell_angle_gamma 90.00
_space_group_name_H-M_alt 'P 4/n m m'
_space_group_IT_number 129
loop_
_space_group_symop_operation_xyz
'x,y,z'
'-x,-y,-z'
'-y+1/2,x,z'
'y+1/2,-x,-z'
'-x+1/2,-y+1/2,z'
'x+1/2,y+1/2,-z'
'y,-x+1/2,z'
'-y,x+1/2,-z'
'x+1/2,-y,-z'
'-x+1/2,y,z'
'-y,-x,-z'
'y,x,z'
'-x,y+1/2,-z'
'x,-y+1/2,z'
'y+1/2,x+1/2,-z'
'-y+1/2,-x+1/2,z'
loop_
_atom_site_label
_atom_site_fract_x
_atom_site_fract_y
_atom_site_fract_z
Ce1 0.250 0.250 0.146
Mg1 0.250 0.750 0.500
Sn1 0.250 0.250 0.740
```

=====

# 4
A geometry-optimized Ru2CS structure. Source: Alexandria via LeMat-Bulk, functional PBE.

Summary:
size of the total moment: 0.00 μB per formula unit
calculated density: 9.0 g/cm3
DFT total energy: -7.136 eV/atom
E_form (uncorrected): 840 meV/atom

Structure (CIF):
```
data_Ru2CS
_chemical_formula_sum 'Ru8 C4 S4'
_cell_length_a 5.665
_cell_length_b 5.665
_cell_length_c 5.665
_cell_angle_alpha 90.00
_cell_angle_beta 90.00
_cell_angle_gamma 90.00
_space_group_name_H-M_alt 'F m -3 m'
_space_group_IT_number 225
_space_group_name_Hall '-F 4 2 3'
loop_
_atom_site_label
_atom_site_fract_x
_atom_site_fract_y
_atom_site_fract_z
Ru1 0.250 0.250 0.250
C1 0.000 0.000 0.000
S1 0.000 0.000 0.500
```

=====

# 5
A geometry-optimized CdAg3Cl structure. Source: Alexandria via LeMat-Bulk, functional PBE.

Summary:
size of the total moment: 0.00 μB per formula unit
calculated density: 6.0 g/cm3
DFT total energy: -1.800 eV/atom
E_form (uncorrected): 464 meV/atom

Structure (CIF):
```
data_CdAg3Cl
_chemical_formula_sum 'Cd1 Ag3 Cl1'
_cell_length_a 5.070
_cell_length_b 5.070
_cell_length_c 5.070
_cell_angle_alpha 90.00
_cell_angle_beta 90.00
_cell_angle_gamma 90.00
_space_group_name_H-M_alt 'P m -3 m'
_space_group_IT_number 221
_space_group_name_Hall '-P 4 2 3'
loop_
_atom_site_label
_atom_site_fract_x
_atom_site_fract_y
_atom_site_fract_z
Cd1 0.000 0.000 0.000
Ag1 0.000 0.500 0.500
Cl1 0.500 0.500 0.500
```

=====

# 6
A geometry-optimized AgSb2Te4 structure. Source: Alexandria via LeMat-Bulk, functional PBE.

Summary:
size of the total moment: 0.00 μB per formula unit
calculated density: 6.7 g/cm3
DFT total energy: -3.472 eV/atom
E_form (uncorrected): -92 meV/atom

Structure (CIF):
```
data_AgSb2Te4
_chemical_formula_sum 'Ag3 Sb6 Te12'
_cell_length_a 4.2926
_cell_length_b 4.2926
_cell_length_c 40.3144
_cell_angle_alpha 90.00
_cell_angle_beta 90.00
_cell_angle_gamma 120.00
_space_group_name_H-M_alt 'R -3 m'
_space_group_IT_number 166
_space_group_name_Hall '-R 3 2"'
loop_
_atom_site_label
_atom_site_fract_x
_atom_site_fract_y
_atom_site_fract_z
Ag1 0.0000 0.0000 0.0000
Sb1 0.0000 0.0000 0.4217
Te1 0.0000 0.0000 0.1317
Te2 0.0000 0.0000 0.2929
```

=====

- What is the formula in the second record?
  K2ReOsO